Below is an optimized crystal structure of CSeF2, with properties calculated at the PBE level.

Summary:
- formation energy (no corrections) (eV per atom) = 0.817

a b c (Å): 5.645 5.645 5.647
angles (deg): 60.01 60.01 90.00
Element x y z (fractional)
Se 0.000 0.000 0.000
Se 0.750 0.250 0.500
F 0.374 0.125 0.250
F 0.875 0.624 0.750
F 0.375 0.626 0.750
F 0.376 0.625 0.250
C 0.250 0.750 0.500
C 0.500 0.500 0.000

=====

Below is an optimized crystal structure of Sm8C3Se4F, with properties calculated at the PBE level.

Summary:
- formation energy (no corrections) (eV per atom) = -1.354

a b c (Å): 7.757 8.043 7.758
angles (deg): 118.83 120.00 90.00
Element x y z (fractional)
Se 0.000 0.000 0.500
Se 0.500 0.000 0.000
Se 0.000 0.000 0.000
Se 0.500 0.000 0.500
Sm 0.280 0.290 0.035
Sm 0.264 0.291 0.527
Sm 0.245 0.710 0.490
Sm 0.245 0.710 0.965
Sm 0.755 0.290 0.510
Sm 0.720 0.710 0.965
Sm 0.755 0.290 0.035
Sm 0.736 0.709 0.473
F 0.000 0.500 0.000
C 0.500 0.500 0.500
C 0.500 0.500 0.000
C 0.000 0.500 0.500

=====

Below is an optimized crystal structure of Sm3CSeF, with properties calculated at the PBE level.

Summary:
- formation energy (no corrections) (eV per atom) = -1.583

a b c (Å): 3.854 8.092 8.410
angles (deg): 102.01 90.00 90.00
Element x y z (fractional)
Sm 0.250 0.135 0.862
Sm 0.750 0.440 0.154
Sm 0.250 0.560 0.846
Sm 0.250 0.751 0.462
Sm 0.750 0.865 0.138
Sm 0.750 0.249 0.538
F 0.250 0.089 0.574
F 0.750 0.911 0.426
Se 0.750 0.832 0.779
Se 0.250 0.168 0.221
C 0.750 0.336 0.838
C 0.250 0.664 0.162